Entry 1:
A relaxed Cs2NaSiI6 crystal, computed with PBE.

Summary:
Magnetic moment: 0.000 μB/atom
Space-group type: Fm-3m
Final energy: -2.67 eV/atom

a b c (Å): 8.485 8.485 8.485
angles (deg): 60.00 60.00 60.00
Element x y z (fractional)
Cs 0.250 0.250 0.250
Cs 0.750 0.750 0.750
Na 0.000 0.000 0.000
Si 0.500 0.500 0.500
I 0.266 0.266 0.734
I 0.266 0.734 0.266
I 0.266 0.734 0.734
I 0.734 0.266 0.266
I 0.734 0.266 0.734
I 0.734 0.734 0.266

---

Entry 2:
A relaxed Sr3Tl3Pt2 crystal, computed with PBE.

Summary:
Magnetic moment: 0.000 μB/atom
Space-group type: Cmcm
Final energy: -3.58 eV/atom

a b c (Å): 6.208 6.208 17.491
angles (deg): 90.00 90.00 136.92
Element x y z (fractional)
Sr 0.063 0.937 0.608
Sr 0.063 0.937 0.892
Sr 0.339 0.661 0.750
Sr 0.661 0.339 0.250
Sr 0.937 0.063 0.108
Sr 0.937 0.063 0.392
Tl 0.353 0.647 0.537
Tl 0.353 0.647 0.963
Tl 0.373 0.627 0.250
Tl 0.627 0.373 0.750
Tl 0.647 0.353 0.037
Tl 0.647 0.353 0.463
Pt 0.231 0.769 0.116
Pt 0.231 0.769 0.384
Pt 0.769 0.231 0.616
Pt 0.769 0.231 0.884

---

Entry 3:
A relaxed Mg2MnNbP crystal, computed with PBE.

Summary:
Magnetic moment: 0.391 μB/atom
Space-group type: P4/mmm
Final energy: -4.90 eV/atom

a b c (Å): 4.759 4.759 4.157
angles (deg): 90.00 90.00 90.00
Element x y z (fractional)
Mg 0.000 0.500 0.000
Mg 0.500 0.000 0.000
Mn 0.000 0.000 0.000
Nb 0.500 0.500 0.500
P 0.000 0.000 0.500

---

Entry 4:
A relaxed Ba4ZnCr crystal, computed with PBE.

Summary:
Magnetic moment: 0.598 μB/atom
Space-group type: F-43m
Final energy: -2.28 eV/atom

a b c (Å): 7.326 7.326 7.326
angles (deg): 60.00 60.00 60.00
Element x y z (fractional)
Ba 0.125 0.125 0.125
Ba 0.125 0.125 0.625
Ba 0.125 0.625 0.125
Ba 0.625 0.125 0.125
Zn 0.500 0.500 0.500
Cr 0.750 0.750 0.750

---

Entry 5:
A relaxed TiFeSb2 crystal, computed with PBE.

Summary:
Magnetic moment: 0.539 μB/atom
Offset from the most stable computed form: 0.05 eV/f.u.
Space-group type: Fm-3m

a b c (Å): 4.727 4.727 4.727
angles (deg): 60.00 60.00 60.00
Element x y z (fractional)
Ti 0.000 0.000 0.000
Fe 0.500 0.500 0.500
Sb 0.250 0.250 0.250
Sb 0.750 0.750 0.750

---

Entry 6:
A relaxed Sm4Y5Sc crystal, computed with PBE.

Summary:
Magnetic moment: 0.000 μB/atom
Offset from the most stable computed form: 0.79 eV/f.u.
Space-group type: I4mm

a b c (Å): 8.091 8.091 8.091
angles (deg): 97.49 97.49 137.66
Element x y z (fractional)
Sm 0.000 0.324 0.324
Sm 0.000 0.676 0.676
Sm 0.324 0.000 0.324
Sm 0.676 0.000 0.676
Y 0.225 0.225 0.000
Y 0.332 0.332 0.627
Y 0.332 0.705 0.000
Y 0.705 0.332 0.000
Y 0.705 0.705 0.373
Sc 0.755 0.755 0.000